Record 1
DFT (PBE-GGA) results for a relaxed structure of La2CdBiH.

Values from the calculation:
calculated density = 8.1 g/cm3
magnetic moment = 0.0093 μB per atom
calculated total energy = -4.128 eV per atom

```
La2CdBiH
1.0
5.122 0.000 0.000
0.000 5.122 0.000
0.000 0.000 4.688
La Cd Bi H
2 1 1 1
direct
0.000 0.500 0.000
0.500 0.000 0.000
0.000 0.000 0.500
0.500 0.500 0.500
0.000 0.000 0.000
```

Record 2
DFT (PBE-GGA) results for a relaxed structure of LiCd2BiH.

Values from the calculation:
calculated density = 7.5 g/cm3
magnetic moment = 0.0000 μB per atom
calculated total energy = -2.189 eV per atom

```
LiCd2BiH
1.0
4.673 0.000 0.000
0.000 4.673 0.000
0.000 0.000 4.487
Li Cd Bi H
1 2 1 1
direct
0.000 0.000 0.000
0.000 0.500 0.500
0.500 0.000 0.500
0.500 0.500 0.000
0.000 0.000 0.500
```

Record 3
DFT (PBE-GGA) results for a relaxed structure of CdBi2MoH.

Values from the calculation:
calculated density = 9.0 g/cm3
magnetic moment = 0.5983 μB per atom
calculated total energy = -3.733 eV per atom

```
CdBi2MoH
1.0
5.808 0.000 0.000
0.000 5.808 0.000
0.000 0.000 3.432
Cd Bi Mo H
1 2 1 1
direct
0.000 0.000 0.000
0.000 0.500 0.000
0.500 0.000 0.000
0.500 0.500 0.500
0.000 0.000 0.500
```

Record 4
DFT (PBE-GGA) results for a relaxed structure of NaCdBi2H.

Values from the calculation:
calculated density = 7.9 g/cm3
magnetic moment = 0.0000 μB per atom
calculated total energy = -2.576 eV per atom

```
NaCdBi2H
1.0
4.961 0.000 0.000
0.000 4.961 0.000
0.000 0.000 4.744
Na Cd Bi H
1 1 2 1
direct
0.000 0.000 0.000
0.500 0.500 0.000
0.000 0.500 0.500
0.500 0.000 0.500
0.000 0.000 0.500
```

Record 5
DFT (PBE-GGA) results for a relaxed structure of Na2CdBiH.

Values from the calculation:
calculated density = 5.7 g/cm3
magnetic moment = 0.0000 μB per atom
calculated total energy = -2.314 eV per atom

```
Na2CdBiH
1.0
4.557 0.000 0.000
0.000 4.557 0.000
0.000 0.000 5.129
Na Cd Bi H
2 1 1 1
direct
0.000 0.500 0.000
0.500 0.000 0.000
0.000 0.000 0.500
0.500 0.500 0.500
0.000 0.000 0.000
```

Record 6
DFT (PBE-GGA) results for a relaxed structure of Na2CdBiH.

Values from the calculation:
calculated density = 5.0 g/cm3
magnetic moment = 0.0000 μB per atom
calculated total energy = -2.346 eV per atom

```
Na2CdBiH
1.0
6.765 0.000 0.000
0.000 4.863 0.000
-2.677 0.000 7.507
Na Cd Bi H
4 2 2 2
direct
0.141 0.250 0.391
0.241 0.250 0.942
0.759 0.750 0.058
0.859 0.750 0.609
0.387 0.750 0.297
0.613 0.250 0.703
0.352 0.750 0.688
0.648 0.250 0.312
0.115 0.750 0.139
0.885 0.250 0.861
```

Record 7
DFT (PBE-GGA) results for a relaxed structure of Na2CdBiH.

Values from the calculation:
calculated density = 5.5 g/cm3
magnetic moment = 0.0000 μB per atom
calculated total energy = -2.189 eV per atom

```
Na2CdBiH
1.0
4.925 0.000 0.000
0.000 4.925 0.000
0.000 0.000 4.601
Na Cd Bi H
2 1 1 1
direct
0.000 0.500 0.000
0.500 0.000 0.000
0.000 0.000 0.500
0.500 0.500 0.500
0.500 0.500 0.000
```

Record 8
DFT (PBE-GGA) results for a relaxed structure of CdBiH2Pd5.

Values from the calculation:
calculated density = 10.5 g/cm3
magnetic moment = 0.0000 μB per atom
calculated total energy = -4.340 eV per atom

```
CdBiH2Pd5
1.0
4.074 0.000 0.000
0.000 4.074 0.000
0.000 0.000 8.166
Cd Bi H Pd
1 1 2 5
direct
0.000 0.000 0.000
0.000 0.000 0.500
0.500 0.500 0.246
0.500 0.500 0.754
0.000 0.500 0.240
0.000 0.500 0.760
0.500 0.000 0.240
0.500 0.000 0.760
0.500 0.500 0.500
```

Record 9
DFT (PBE-GGA) results for a relaxed structure of CdBi2H3Pd8.

Values from the calculation:
calculated density = 10.9 g/cm3
magnetic moment = 0.0000 μB per atom
calculated total energy = -4.421 eV per atom

```
CdBi2H3Pd8
1.0
2.909 1.680 7.205
-2.909 1.680 7.205
0.000 -3.359 7.205
Cd Bi H Pd
1 2 3 8
direct
0.000 0.000 0.000
0.340 0.340 0.340
0.685 0.685 0.685
0.346 0.346 0.864
0.346 0.864 0.346
0.864 0.346 0.346
0.060 0.060 0.568
0.060 0.568 0.060
0.120 0.616 0.616
0.123 0.123 0.123
0.558 0.558 0.558
0.568 0.060 0.060
0.616 0.120 0.616
0.616 0.616 0.120
```

Record 10
DFT (PBE-GGA) results for a relaxed structure of Rb2Cd2Bi2H.

Values from the calculation:
calculated density = 5.8 g/cm3
magnetic moment = 0.0000 μB per atom
calculated total energy = -2.327 eV per atom

```
Rb2Cd2Bi2H
1.0
6.621 -2.560 0.000
6.621 2.560 0.000
-5.755 0.000 6.872
Rb Cd Bi H
2 2 2 1
direct
0.059 0.059 0.302
0.941 0.941 0.698
0.318 0.318 0.910
0.682 0.682 0.090
0.334 0.334 0.264
0.666 0.666 0.736
0.500 0.500 0.000
```

Record 11
DFT (PBE-GGA) results for a relaxed structure of Rb2CdBiH.

Values from the calculation:
calculated density = 4.4 g/cm3
magnetic moment = 0.0000 μB per atom
calculated total energy = -2.283 eV per atom

```
Rb2CdBiH
1.0
7.662 0.000 0.000
0.000 4.891 0.000
-3.515 0.000 9.940
Rb Cd Bi H
4 2 2 2
direct
0.200 0.250 0.405
0.219 0.250 0.956
0.781 0.750 0.044
0.800 0.750 0.595
0.443 0.750 0.236
0.557 0.250 0.764
0.339 0.750 0.709
0.661 0.250 0.291
0.183 0.750 0.161
0.817 0.250 0.839
```

Record 12
DFT (PBE-GGA) results for a relaxed structure of RbCdBiH.

Values from the calculation:
calculated density = 5.8 g/cm3
magnetic moment = 0.0000 μB per atom
calculated total energy = -2.395 eV per atom

```
RbCdBiH
1.0
4.497 -1.826 0.000
4.497 1.826 0.000
-1.251 0.000 7.172
Rb Cd Bi H
1 1 1 1
direct
0.000 0.000 0.000
0.655 0.655 0.609
0.344 0.344 0.404
0.692 0.692 0.865
```

Record 13
DFT (PBE-GGA) results for a relaxed structure of CdBiHRh2.

Values from the calculation:
calculated density = 11.5 g/cm3
magnetic moment = 0.0000 μB per atom
calculated total energy = -4.468 eV per atom

```
CdBiHRh2
1.0
4.280 0.000 0.000
0.000 4.280 0.000
0.000 0.000 4.168
Cd Bi H Rh
1 1 1 2
direct
0.000 0.000 0.000
0.500 0.500 0.000
0.000 0.000 0.500
0.000 0.500 0.500
0.500 0.000 0.500
```